[1]
{
  "formula": "MoPt",
  "functional": "GGA-PBEsol",
  "state": "relaxed",
  "lattice_angstrom": [[-1.2802, -1.6396, -1.7453], [3.8149, -2.1534, -0.7752], [-1.0109, -3.1092, 3.6625]],
  "species": ["Pt", "Pt", "Mo", "Mo"],
  "fractional_positions": [[0.5000, 0.2500, 0.3359], [0.5000, 0.7500, 0.6641], [0.0000, 0.2500, 0.8364], [0.0000, 0.7500, 0.1636]],
  "sg": "No. 51"
}



[2]
{
  "formula": "MoPt5",
  "functional": "GGA-PBEsol",
  "state": "relaxed",
  "lattice_angstrom": [[-0.5720, -2.2054, 1.5603], [-0.7480, -2.4509, -3.7384], [7.2174, -0.7957, -0.9225]],
  "species": ["Pt", "Pt", "Pt", "Pt", "Pt", "Mo"],
  "fractional_positions": [[0.8917, 0.5000, 0.7834], [0.6603, 0.0000, 0.3206], [0.2247, 0.5000, 0.4493], [0.5569, 0.5000, 0.1137], [0.3359, 0.0000, 0.6717], [0.9973, 0.0000, 0.9946]],
  "sg": "No. 38",
  "de_polymorph_kcal_per_mol_atoms": 1.41
}



[3]
{
  "formula": "Rb3MoPt",
  "functional": "GGA-PBEsol",
  "state": "relaxed",
  "lattice_angstrom": [[6.2613, 0.0000, 0.0000], [0.0000, 6.2613, 0.0000], [0.0000, 0.0000, 6.2613]],
  "species": ["Mo", "Pt", "Rb", "Rb", "Rb"],
  "fractional_positions": [[0.5000, 0.5000, 0.5000], [0.0000, 0.0000, 0.0000], [0.0000, 0.5000, 0.0000], [0.5000, 0.0000, 0.0000], [0.0000, 0.0000, 0.5000]],
  "sg": "No. 221",
  "de_polymorph_kcal_per_mol_atoms": 0.00
}



[4]
{
  "formula": "RbMo2Pt2",
  "functional": "GGA-PBEsol",
  "state": "relaxed",
  "lattice_angstrom": [[-0.3929, 4.6983, 0.9809], [-4.7630, -0.5031, 0.5017], [3.1218, -2.9514, 3.5661]],
  "species": ["Pt", "Pt", "Mo", "Mo", "Rb"],
  "fractional_positions": [[0.2500, 0.7500, 0.5000], [0.7500, 0.2500, 0.5000], [0.3689, 0.3689, 0.7378], [0.6311, 0.6311, 0.2622], [0.0000, 0.0000, 0.0000]],
  "sg": "No. 139"
}



[5]
{
  "formula": "Rb2TaMoPt",
  "functional": "GGA-PBEsol",
  "state": "relaxed",
  "lattice_angstrom": [[-1.7725, -0.8421, 4.0850], [5.8811, -1.3006, 2.2838], [0.7480, 6.1944, 1.6015]],
  "species": ["Rb", "Rb", "Mo", "Ta", "Pt"],
  "fractional_positions": [[0.0000, 0.5000, 0.0000], [0.0000, 0.0000, 0.5000], [0.5000, 0.0000, 0.0000], [0.0000, 0.0000, 0.0000], [0.5000, 0.5000, 0.5000]],
  "sg": "No. 123"
}



[6]
{
  "formula": "ReMo2Pt",
  "functional": "GGA-PBEsol",
  "state": "relaxed",
  "lattice_angstrom": [[2.7492, 0.0000, 0.0000], [1.3746, 2.3809, 0.0000], [1.3746, 0.7936, 9.1975]],
  "species": ["Mo", "Mo", "Pt", "Re"],
  "fractional_positions": [[0.7511, 0.7511, 0.7466], [0.9982, 0.9982, 0.0054], [0.5003, 0.5003, 0.4992], [0.2504, 0.2504, 0.2488]],
  "sg": "No. 160",
  "de_polymorph_kcal_per_mol_atoms": 6.13
}



[7]
{
  "formula": "ReMo3Pt",
  "functional": "GGA-PBEsol",
  "state": "relaxed",
  "lattice_angstrom": [[4.6175, 0.0000, 0.0000], [0.0000, 4.6175, 0.0000], [0.0000, 0.0000, 4.6175]],
  "species": ["Re", "Pt", "Mo", "Mo", "Mo"],
  "fractional_positions": [[0.5000, 0.5000, 0.5000], [0.0000, 0.0000, 0.0000], [0.0000, 0.5000, 0.0000], [0.5000, 0.0000, 0.0000], [0.0000, 0.0000, 0.5000]],
  "sg": "No. 221"
}



[8]
{
  "formula": "ReMoPt4",
  "functional": "GGA-PBEsol",
  "state": "relaxed",
  "lattice_angstrom": [[5.0894, 0.0000, 0.0000], [2.5447, 4.4075, 0.0000], [2.5447, 1.4692, 4.1555]],
  "species": ["Mo", "Pt", "Pt", "Pt", "Pt", "Re"],
  "fractional_positions": [[0.0000, 0.0000, 0.0000], [0.3751, 0.3751, 0.8746], [0.3751, 0.8746, 0.3751], [0.3751, 0.3751, 0.3751], [0.8746, 0.3751, 0.3751], [0.7500, 0.7500, 0.7500]],
  "sg": "No. 216"
}



[9]
{
  "formula": "Re2MoPt",
  "functional": "GGA-PBEsol",
  "state": "relaxed",
  "lattice_angstrom": [[3.8814, 0.0000, 0.0000], [0.0000, 3.8814, 0.0000], [0.0000, 0.0000, 3.8933]],
  "species": ["Pt", "Re", "Re", "Mo"],
  "fractional_positions": [[0.0000, 0.0000, 0.5000], [0.5000, 0.0000, 0.0000], [0.0000, 0.5000, 0.0000], [0.5000, 0.5000, 0.5000]],
  "sg": "No. 123",
  "de_polymorph_kcal_per_mol_atoms": 0.00
}



[10]
{
  "formula": "ReMo2Pt",
  "functional": "GGA-PBEsol",
  "state": "relaxed",
  "lattice_angstrom": [[3.8879, 0.0000, 0.0000], [0.0000, 3.9079, 0.0000], [0.0000, 0.0000, 3.9079]],
  "species": ["Pt", "Mo", "Mo", "Re"],
  "fractional_positions": [[0.5000, 0.5000, 0.5000], [0.0000, 0.0000, 0.5000], [0.0000, 0.5000, 0.0000], [0.5000, 0.0000, 0.0000]],
  "sg": "No. 123",
  "de_polymorph_kcal_per_mol_atoms": 0.00
}



[11]
{
  "formula": "Re2MoPt",
  "functional": "GGA-PBEsol",
  "state": "relaxed",
  "lattice_angstrom": [[2.7331, 0.0000, 0.0000], [0.0000, 3.9279, 0.0000], [0.0000, 0.0000, 5.5203]],
  "species": ["Re", "Re", "Pt", "Mo"],
  "fractional_positions": [[0.0000, 0.0000, 0.2377], [0.0000, 0.0000, 0.7623], [0.5000, 0.5000, 0.5000], [0.5000, 0.5000, 0.0000]],
  "sg": "No. 47",
  "de_polymorph_kcal_per_mol_atoms": 3.74
}



[12]
{
  "formula": "Re2MoPt",
  "functional": "GGA-PBEsol",
  "state": "relaxed",
  "lattice_angstrom": [[3.9041, 0.0000, 0.0000], [0.0000, 3.9041, 0.0000], [-1.9520, -1.9520, 3.8552]],
  "species": ["Re", "Re", "Pt", "Mo"],
  "fractional_positions": [[0.7500, 0.2500, 0.5000], [0.5000, 0.5000, 0.0000], [0.2500, 0.7500, 0.5000], [0.0000, 0.0000, 0.0000]],
  "sg": "No. 119",
  "de_polymorph_kcal_per_mol_atoms": 0.48
}



[13]
{
  "formula": "ReMoPt",
  "functional": "GGA-PBEsol",
  "state": "relaxed",
  "lattice_angstrom": [[2.6387, 0.0000, 0.0000], [0.0000, 4.0597, 0.0000], [-1.3193, -2.0298, 4.1596]],
  "species": ["Pt", "Mo", "Re"],
  "fractional_positions": [[0.6677, 0.6677, 0.3354], [0.9981, 0.9981, 0.9961], [0.3342, 0.3342, 0.6685]],
  "sg": "No. 44"
}



[14]
{
  "formula": "ReMo2Pt",
  "functional": "GGA-PBEsol",
  "state": "relaxed",
  "lattice_angstrom": [[-1.5200, -1.8734, -3.0924], [1.6486, -3.3446, 1.2159], [-3.2383, 1.7917, 2.9934]],
  "species": ["Pt", "Re", "Mo", "Mo"],
  "fractional_positions": [[0.0000, 0.0000, 0.0000], [0.5000, 0.5000, 0.0000], [0.7500, 0.2500, 0.5000], [0.2500, 0.7500, 0.5000]],
  "sg": "No. 139",
  "de_polymorph_kcal_per_mol_atoms": 0.54
}



[15]
{
  "formula": "MoPt2Rh",
  "functional": "GGA-PBEsol",
  "state": "relaxed",
  "lattice_angstrom": [[-0.1249, -1.7239, -2.1116], [2.5487, 0.6758, -0.7025], [2.7794, -5.7624, 4.5400]],
  "species": ["Pt", "Pt", "Mo", "Rh"],
  "fractional_positions": [[0.0000, 0.0000, 0.9904], [0.5000, 0.5000, 0.2555], [0.5000, 0.5000, 0.7435], [0.0000, 0.0000, 0.5106]],
  "sg": "No. 99",
  "de_polymorph_kcal_per_mol_atoms": 1.21
}



[16]
{
  "formula": "Mo2PtRh",
  "functional": "GGA-PBEsol",
  "state": "relaxed",
  "lattice_angstrom": [[3.8180, 0.0000, 0.0000], [0.0000, 3.8180, 0.0000], [-1.9090, -1.9090, 3.9837]],
  "species": ["Rh", "Mo", "Mo", "Pt"],
  "fractional_positions": [[0.5000, 0.5000, 0.0000], [0.7500, 0.2500, 0.5000], [0.2500, 0.7500, 0.5000], [0.0000, 0.0000, 0.0000]],
  "sg": "No. 139",
  "de_polymorph_kcal_per_mol_atoms": 0.78
}



[17]
{
  "formula": "MoPt2Rh",
  "functional": "GGA-PBEsol",
  "state": "relaxed",
  "lattice_angstrom": [[-0.4311, 0.8123, 2.5559], [1.1331, -4.3358, 1.5691], [4.3462, 1.5550, -1.2046]],
  "species": ["Pt", "Pt", "Mo", "Rh"],
  "fractional_positions": [[0.0028, 0.0053, 0.0057], [0.2483, 0.7471, 0.4966], [0.7520, 0.2538, 0.5040], [0.4969, 0.4939, 0.9938]],
  "sg": "No. 8",
  "de_polymorph_kcal_per_mol_atoms": 1.29
}



[18]
{
  "formula": "MoPt2Rh",
  "functional": "GGA-PBEsol",
  "state": "relaxed",
  "lattice_angstrom": [[2.7183, 0.0000, 0.0000], [0.0000, 3.9424, 0.0000], [0.0000, 0.0000, 5.4120]],
  "species": ["Pt", "Pt", "Mo", "Rh"],
  "fractional_positions": [[0.0000, 0.0000, 0.7469], [0.0000, 0.0000, 0.2531], [0.5000, 0.5000, 0.5000], [0.5000, 0.5000, 0.0000]],
  "sg": "No. 47",
  "de_polymorph_kcal_per_mol_atoms": 0.80
}



[19]
{
  "formula": "MoPt2Rh",
  "functional": "GGA-PBEsol",
  "state": "relaxed",
  "lattice_angstrom": [[-3.2692, 0.2938, 2.0464], [0.9675, -3.1662, 2.0002], [2.9839, 3.6459, 0.5877]],
  "species": ["Rh", "Pt", "Pt", "Mo"],
  "fractional_positions": [[0.0000, 0.0000, 0.0000], [0.7500, 0.2500, 0.5000], [0.5000, 0.5000, 0.0000], [0.2500, 0.7500, 0.5000]],
  "sg": "No. 119",
  "de_polymorph_kcal_per_mol_atoms": 0.00
}



[20]
{
  "formula": "MoPt2Rh",
  "functional": "GGA-PBEsol",
  "state": "relaxed",
  "lattice_angstrom": [[-3.7903, -0.0260, -0.5393], [-0.2353, -3.3625, 1.8156], [1.5104, 3.5865, 2.8014]],
  "species": ["Pt", "Pt", "Rh", "Mo"],
  "fractional_positions": [[0.2500, 0.7500, 0.5000], [0.7500, 0.2500, 0.5000], [0.0000, 0.0000, 0.0000], [0.5000, 0.5000, 0.0000]],
  "sg": "No. 139",
  "de_polymorph_kcal_per_mol_atoms": 0.45
}



For reference, formation enthalpy at 0 K by record: -357.7, -152.9, 1283.5, 655.7, 2196.9, 122.4, 2298.5, 353.5, -130.1, -143.4, 32.2, -109.5, -74.7, -119.9, -230.0, -274.8, -226.5, -247.9, -282.5, -263.1 meV/atom.